Run w
MnAgIr2 after structural relaxation. Source: Alexandria, functional PBE.

a = 3.9045 Å, b = 3.9045 Å, c = 3.9059 Å
α = 90.00°, β = 90.00°, γ = 90.00°
With the nearest neighbours (Å) after each atom.
Space group P4/mmm (No. 123)
Unique sites:
Mn 0.0000 0.0000 0.0000 x1  4 Ag 2.76, 8 Ir 2.76
Ag 0.5000 0.5000 0.0000 x1  4 Mn 2.76, 8 Ir 2.76
Ir 0.0000 0.5000 0.5000 x2  4 Ir 2.76, 4 Ag 2.76, 4 Mn 2.76

## Properties
DOS at the Fermi energy, states/eV per atom: 1.038


Run x
MnAgIr2 after structural relaxation. Source: Alexandria, functional PBE.

a = 3.9018 Å, b = 3.9018 Å, c = 7.8249 Å
α = 90.00°, β = 90.00°, γ = 90.00°
With the nearest neighbours (Å) after each atom.
Space group I-4m2 (No. 119)
Unique sites:
Mn 0.0000 0.0000 0.0000 x2  8 Ir 2.76, 4 Ag 2.76
Ag 0.0000 0.5000 0.7500 x2  8 Ir 2.76, 4 Mn 2.76
Ir 0.0000 0.0000 0.5000 x2  4 Mn 2.76, 4 Ir 2.76, 4 Ag 2.76
Ir 0.0000 0.5000 0.2500 x2  4 Ag 2.76, 4 Mn 2.76, 4 Ir 2.76

## Properties
DOS at the Fermi energy, states/eV per atom: 1.332


Run y
MnAgIr2 after structural relaxation. Source: Alexandria, functional PBE.

a = 6.2704 Å, b = 6.2704 Å, c = 6.2704 Å
α = 90.00°, β = 90.00°, γ = 90.00°
With the nearest neighbours (Å) after each atom.
Space group F-43m (No. 216)
Unique sites:
Mn 0.0000 0.0000 0.0000 x4  4 Ir 2.72, 4 Ag 2.72
Ag 0.2500 0.2500 0.7500 x4  4 Mn 2.72, 4 Ir 2.72
Ir 0.0000 0.0000 0.5000 x4  4 Ag 2.72, 4 Ir 2.72
Ir 0.2500 0.2500 0.2500 x4  4 Mn 2.72, 4 Ir 2.72

## Properties
DOS at the Fermi energy, states/eV per atom: 1.489


Run z
MnAgIr2 after structural relaxation. Source: Alexandria, functional PBE.

a = 5.5216 Å, b = 7.6980 Å, c = 2.8181 Å
α = 90.00°, β = 90.00°, γ = 90.00°
With the nearest neighbours (Å) after each atom.
Space group Cmmm (No. 65)
Unique sites:
Mn 0.0000 0.0000 0.0000 x2  8 Ir 2.76, 2 Ag 2.76, 2 Mn 2.82
Ag 0.0000 0.5000 0.0000 x2  8 Ir 2.76, 2 Mn 2.76, 2 Ag 2.82
Ir 0.2500 0.2500 0.5000 x4  4 Mn 2.76, 4 Ag 2.76, 4 Ir 2.76-2.82

## Properties
DOS at the Fermi energy, states/eV per atom: 1.176


Of them, the most stable is run w and the least stable is run y.